First-principles (GGA-PBE) data for BaAcZnNi after structural relaxation, as listed in the Alexandria database.

Computed properties:
D(E_F) = 3.57 states/eV/cell
E_form = -0.7 eV per formula unit
space group = Cm
relative energy among the computed polymorphs = 0.0 meV/atom

```
4
Lattice="3.789 -2.189 0.000 3.789 2.189 0.000 -2.535 0.000 8.119" Properties=species:S:1:pos:R:3 pbc="T T T"
Ba 0.000 0.000 0.000
Ac -0.002 0.000 4.150
Zn 2.526 0.000 2.190
Ni 5.052 0.000 2.408
```